P) Crystalline SnIBrN2 at its relaxed geometry. Source: the Alexandria database, functional GGA-PBEsol.

Cell and atoms, written as CIF:
```
data_SnIBrN2
_space_group_name_H-M_alt 'P 4/m m m'
_space_group_IT_number 123
_space_group_name_Hall '-P 4 2'
_cell_length_a 4.212
_cell_length_b 4.212
_cell_length_c 6.487
_cell_angle_alpha 90.00
_cell_angle_beta 90.00
_cell_angle_gamma 90.00
loop_
_atom_site_label
_atom_site_type_symbol
_atom_site_fract_x
_atom_site_fract_y
_atom_site_fract_z
Sn1 Sn 0.000 0.000 0.000
I1 I 0.500 0.500 0.000
Br1 Br 0.500 0.500 0.500
N1 N 0.000 0.500 0.500
```

Properties
M_tot   2.0 μB per formula unit
Calculated volume   115 Å³/f.u.
Density of states at the Fermi level   2.7 states/eV/f.u.



Q) Crystalline SnIBrN2 at its relaxed geometry. Source: the Alexandria database, functional GGA-PBEsol.

Cell and atoms, written as CIF:
```
data_SnIBrN2
_space_group_name_H-M_alt 'P 4/m m m'
_space_group_IT_number 123
_space_group_name_Hall '-P 4 2'
_cell_length_a 4.146
_cell_length_b 4.146
_cell_length_c 6.281
_cell_angle_alpha 90.00
_cell_angle_beta 90.00
_cell_angle_gamma 90.00
loop_
_atom_site_label
_atom_site_type_symbol
_atom_site_fract_x
_atom_site_fract_y
_atom_site_fract_z
Sn1 Sn 0.000 0.000 0.000
I1 I 0.500 0.500 0.500
Br1 Br 0.500 0.500 0.000
N1 N 0.000 0.500 0.500
```

Properties
M_tot   0.0 μB per formula unit
Calculated volume   108 Å³/f.u.
Density of states at the Fermi level   3.4 states/eV/f.u.



Unit: kJ/mol of atoms. Relative energies: P) 35.8; Q) 0.0.



P) Crystalline ZrI2BrN at its relaxed geometry. Source: the Alexandria database, functional GGA-PBEsol.

Cell and atoms, written as CIF:
```
data_ZrI2BrN
_space_group_name_H-M_alt 'P 4/m m m'
_space_group_IT_number 123
_space_group_name_Hall '-P 4 2'
_cell_length_a 5.853
_cell_length_b 5.853
_cell_length_c 3.938
_cell_angle_alpha 90.00
_cell_angle_beta 90.00
_cell_angle_gamma 90.00
loop_
_atom_site_label
_atom_site_type_symbol
_atom_site_fract_x
_atom_site_fract_y
_atom_site_fract_z
Zr1 Zr 0.000 0.000 0.000
I1 I 0.000 0.500 0.000
Br1 Br 0.500 0.500 0.500
N1 N 0.000 0.000 0.500
```

Properties
M_tot   0.0 μB per formula unit
Calculated volume   135 Å³/f.u.
Density of states at the Fermi level   7.9 states/eV/f.u.



Q) Crystalline ZrI2BrN at its relaxed geometry. Source: the Alexandria database, functional GGA-PBEsol.

Cell and atoms, written as CIF:
```
data_ZrI2BrN
_space_group_name_H-M_alt 'P 4/m m m'
_space_group_IT_number 123
_space_group_name_Hall '-P 4 2'
_cell_length_a 6.020
_cell_length_b 6.020
_cell_length_c 3.651
_cell_angle_alpha 90.00
_cell_angle_beta 90.00
_cell_angle_gamma 90.00
loop_
_atom_site_label
_atom_site_type_symbol
_atom_site_fract_x
_atom_site_fract_y
_atom_site_fract_z
Zr1 Zr 0.000 0.000 0.000
I1 I 0.000 0.500 0.500
Br1 Br 0.500 0.500 0.500
N1 N 0.500 0.500 0.000
```

Properties
M_tot   1.4 μB per formula unit
Calculated volume   132 Å³/f.u.
Density of states at the Fermi level   5.0 states/eV/f.u.



Unit: kJ/mol of atoms. Relative energies: P) 0.0; Q) 125.6.



P) Crystalline Rb2IBr at its relaxed geometry. Source: the Alexandria database, functional GGA-PBEsol.

Cell and atoms, written as CIF:
```
data_Rb2IBr
_space_group_name_H-M_alt 'F m -3 m'
_space_group_IT_number 225
_space_group_name_Hall '-F 4 2 3'
_cell_length_a 8.448
_cell_length_b 8.448
_cell_length_c 8.448
_cell_angle_alpha 90.00
_cell_angle_beta 90.00
_cell_angle_gamma 90.00
loop_
_atom_site_label
_atom_site_type_symbol
_atom_site_fract_x
_atom_site_fract_y
_atom_site_fract_z
Rb1 Rb 0.250 0.250 0.250
I1 I 0.000 0.000 0.000
Br1 Br 0.000 0.000 0.500
```

Properties
M_tot   0.0 μB per formula unit
Calculated volume   151 Å³/f.u.
Density of states at the Fermi level   0.0 states/eV/f.u.



Q) Crystalline Rb2IBr at its relaxed geometry. Source: the Alexandria database, functional GGA-PBEsol.

Cell and atoms, written as CIF:
```
data_Rb2IBr
_space_group_name_H-M_alt 'I -4 2 d'
_space_group_IT_number 122
_space_group_name_Hall 'I -4 2bw'
_cell_length_a 9.000
_cell_length_b 9.000
_cell_length_c 9.823
_cell_angle_alpha 90.00
_cell_angle_beta 90.00
_cell_angle_gamma 90.00
loop_
_atom_site_label
_atom_site_type_symbol
_atom_site_fract_x
_atom_site_fract_y
_atom_site_fract_z
Rb1 Rb 0.228 0.750 0.125
I1 I 0.000 0.000 0.500
Br1 Br 0.000 0.000 0.000
```

Properties
M_tot   0.0 μB per formula unit
Calculated volume   199 Å³/f.u.
Density of states at the Fermi level   0.0 states/eV/f.u.



Unit: kJ/mol of atoms. Relative energies: P) 0.0; Q) 6.0.